Entry 1:
{"formula": "ThScAl3", "functional": "PBE", "state": "optimized geometry", "sg": "Cmcm, No. 63", "delta_e_f_ev_per_atom": -0.386, "m_tot_mub_per_fu": 0.00, "cell": [[2.0615, -12.9089, 0.0000], [2.0615, 12.9089, 0.0000], [0.0000, 0.0000, 4.2873]], "species": ["Th", "Th", "Sc", "Sc", "Al", "Al", "Al", "Al", "Al", "Al"], "fractional_positions": [[0.0755, 0.9245, 0.7500], [0.9245, 0.0755, 0.2500], [0.2061, 0.7939, 0.2500], [0.7939, 0.2061, 0.7500], [0.3195, 0.6805, 0.2500], [0.3755, 0.6245, 0.7500], [0.4746, 0.5254, 0.7500], [0.5254, 0.4746, 0.2500], [0.6245, 0.3755, 0.2500], [0.6805, 0.3195, 0.7500]]}



Entry 2:
{"formula": "Cs2RbAuSe", "functional": "PBE", "state": "optimized geometry", "e_form_raw_kj_per_mol_atoms": -60, "sg": "P4/mmm, No. 123", "m_tot_mub_per_fu": 0.00, "cell": [[6.9059, 0.0000, 0.0000], [0.0000, 6.9059, 0.0000], [0.0000, 0.0000, 6.5074]], "species": ["Cs", "Cs", "Rb", "Au", "Se"], "fractional_positions": [[0.0000, 0.5000, 0.0000], [0.5000, 0.0000, 0.0000], [0.0000, 0.0000, 0.5000], [0.5000, 0.5000, 0.5000], [0.0000, 0.0000, 0.0000]]}



Entry 3:
{"formula": "Rb2PmCd2Se4", "functional": "PBE", "state": "optimized geometry", "e_form_raw_kj_per_mol_atoms": -106, "sg": "C2/m, No. 12", "m_tot_mub_per_fu": 0.00, "cell": [[8.4603, -2.1415, 0.0000], [8.4603, 2.1415, 0.0000], [-3.3635, 0.0000, 7.8879]], "species": ["Rb", "Rb", "Pm", "Cd", "Cd", "Se", "Se", "Se", "Se"], "fractional_positions": [[0.1267, 0.1267, 0.0609], [0.8733, 0.8733, 0.9391], [0.0000, 0.0000, 0.5000], [0.3130, 0.3130, 0.4861], [0.6870, 0.6870, 0.5139], [0.1885, 0.1885, 0.7170], [0.4759, 0.4759, 0.7214], [0.5241, 0.5241, 0.2786], [0.8115, 0.8115, 0.2830]]}



Entry 4:
{"formula": "SrNiTe", "functional": "PBE", "state": "optimized geometry", "e_form_raw_kj_per_mol_atoms": -70, "sg": "Pm, No. 6", "m_tot_mub_per_fu": 0.00, "cell": [[4.6239, 0.0000, 0.0000], [0.0000, 4.3544, 0.0000], [-0.8909, 0.0000, 8.1823]], "species": ["Sr", "Sr", "Ni", "Ni", "Te", "Te"], "fractional_positions": [[0.0000, 0.0000, 0.0000], [0.3403, 0.0000, 0.5404], [0.6852, 0.0000, 0.2656], [0.9399, 0.5000, 0.3394], [0.4151, 0.5000, 0.2162], [0.8806, 0.5000, 0.6882]]}



Number 4 is which compound? SrNiTe